(1)
Material: LaGe3B
Method: DFT, GGA-PBE
State: optimized geometry

spin magnetization	0.0	μB/f.u.
E	-3.280	eV/atom
formation energy	174.8	kJ/mol of atoms
N(E_F)	5.21	states/eV/cell

Cell: 5.6648 5.6648 5.6648 Å, 90.00 90.00 90.00°
Positions (direct):
Ge: 0.0000 0.5000 0.0000
Ge: 0.0000 0.0000 0.5000
Ge: 0.5000 0.0000 0.0000
B: 0.5000 0.5000 0.5000
La: 0.0000 0.0000 0.0000

(2)
Material: BaTh4Hg5
Method: DFT, GGA-PBE
State: optimized geometry

spin magnetization	0.0	μB/f.u.
E	-3.551	eV/atom
formation energy	-23.1	kJ/mol of atoms
N(E_F)	9.25	states/eV/cell

Cell: 3.8736 3.8736 19.7184 Å, 90.00 90.00 90.00°
Positions (direct):
Ba: 0.0000 0.0000 0.0000
Th: 0.0000 0.0000 0.2131
Th: 0.0000 0.0000 0.4051
Th: 0.0000 0.0000 0.5949
Th: 0.0000 0.0000 0.7869
Hg: 0.5000 0.5000 0.1200
Hg: 0.5000 0.5000 0.3093
Hg: 0.5000 0.5000 0.5000
Hg: 0.5000 0.5000 0.6907
Hg: 0.5000 0.5000 0.8800

(3)
Material: CsK2Rb8Na
Method: DFT, GGA-PBE
State: optimized geometry

spin magnetization	0.0	μB/f.u.
E	-0.964	eV/atom
formation energy	4.3	kJ/mol of atoms
N(E_F)	10.74	states/eV/cell

Cell: 9.3572 9.3843 14.9418 Å, 71.96 71.75 60.10°
Positions (direct):
Cs: 0.5000 0.5000 0.5000
K: 0.3079 0.3109 0.0734
K: 0.6921 0.6891 0.9266
Rb: 0.8111 0.8140 0.5638
Rb: 0.7605 0.2620 0.2170
Rb: 0.1889 0.1860 0.4362
Rb: 0.2395 0.7380 0.7830
Rb: 0.7596 0.7656 0.2193
Rb: 0.2404 0.2344 0.7807
Rb: 0.2555 0.7656 0.2193
Rb: 0.7445 0.2344 0.7807
Na: 0.0000 0.0000 0.0000

(4)
Material: Ca2FeSb
Method: DFT, GGA-PBE
State: optimized geometry

spin magnetization	2.9	μB/f.u.
E	-4.270	eV/atom
N(E_F)	6.52	states/eV/cell

Cell: 4.8584 4.8584 4.2802 Å, 90.00 90.00 90.00°
Last column: magnetic moment on the atom in μB.
Positions (direct):
Sb: 0.0000 0.5000 0.5000  0.03
Ca: 0.0000 0.0000 0.0000  -0.04
Ca: 0.5000 0.5000 0.0000  -0.04
Fe: 0.5000 0.0000 0.5000  2.83

Q: Which formula does entry 3 have?
A: CsK2Rb8Na

Repeat the third record exactly.
Material: CsK2Rb8Na
Method: DFT, GGA-PBE
State: optimized geometry

spin magnetization	0.0	μB/f.u.
E	-0.964	eV/atom
formation energy	4.3	kJ/mol of atoms
N(E_F)	10.74	states/eV/cell

Cell: 9.3572 9.3843 14.9418 Å, 71.96 71.75 60.10°
Positions (direct):
Cs: 0.5000 0.5000 0.5000
K: 0.3079 0.3109 0.0734
K: 0.6921 0.6891 0.9266
Rb: 0.8111 0.8140 0.5638
Rb: 0.7605 0.2620 0.2170
Rb: 0.1889 0.1860 0.4362
Rb: 0.2395 0.7380 0.7830
Rb: 0.7596 0.7656 0.2193
Rb: 0.2404 0.2344 0.7807
Rb: 0.2555 0.7656 0.2193
Rb: 0.7445 0.2344 0.7807
Na: 0.0000 0.0000 0.0000